Density functional theory data (GGA-PBE) for an optimized crystal structure of NaMnFeS3.

Theoretical density, g/cm³: 3.69
E_form (uncorrected), eV per atom: -0.667
E_tot, Ha/atom: -0.21641
Fermi-level density of states, states/eV/cell: 8.06

abc: 7.4660 3.4290 8.6587
angles: 90.00 110.88 90.00
Last column: nearest neighbours and their distance in Å.
Space group P2_1/m (No. 11)
Symmetry-distinct sites (fractional):
Na (0.2357, 0.2500, 0.2578)  7 S 2.85-3.16
Mn (0.3099, 0.7500, 0.8421)  6 S 2.34-2.41
Fe (0.0831, 0.2500, 0.6104)  4 S 2.17-2.22
S (0.1092, 0.2500, 0.8687)  1 Fe 2.17, 2 Mn 2.34
S (0.2257, 0.7500, 0.5465)  3 Fe 2.19-2.22, 1 Mn 2.41
S (0.4606, 0.7500, 0.1373)  3 Mn 2.39-2.40